Record 1
The following is a DFT calculation (PBE) of a relaxed structure of NaLa2CrS.

Lattice parameters (Å, degrees): 5.652 5.652 4.484 90.00 90.00 90.00
Atoms (fractional coordinates):
1 Na 0.000 0.000 0.000
2 La 0.000 0.500 0.000
3 La 0.500 0.000 0.000
4 Cr 0.500 0.500 0.500
5 S 0.000 0.000 0.500

Summary:
**Symmetry**: P4/mmm
**VASP energy**: -3.95 eV per atom
**Raw formation energy**: 1039 meV per atom
**Mass density**: 4.46 g/cm³

***

Record 2
The following is a DFT calculation (PBE) of a relaxed structure of Na2LaTlCr.

Lattice parameters (Å, degrees): 5.510 5.510 5.568 90.00 90.00 90.00
Atoms (fractional coordinates):
1 Na 0.000 0.500 0.000
2 Na 0.500 0.000 0.000
3 La 0.000 0.000 0.500
4 Tl 0.500 0.500 0.500
5 Cr 0.000 0.000 0.000

Summary:
**Symmetry**: P4/mmm
**VASP energy**: -3.28 eV per atom
**Mass density**: 4.33 g/cm³
**Formation enthalpy at 0 K**: 0.63 eV per atom

***

Record 3
The following is a DFT calculation (PBE) of a relaxed structure of NaLaZn2Cr.

Lattice parameters (Å, degrees): 4.949 4.949 5.075 90.00 90.00 90.00
Atoms (fractional coordinates):
1 Na 0.000 0.000 0.000
2 La 0.500 0.500 0.500
3 Zn 0.000 0.500 0.000
4 Zn 0.500 0.000 0.000
5 Cr 0.000 0.000 0.500

Summary:
**Symmetry**: P4/mmm
**VASP energy**: -3.02 eV per atom
**Mass density**: 4.60 g/cm³
**Formation enthalpy at 0 K**: 0.66 eV per atom

***

Record 4
The following is a DFT calculation (PBE) of a relaxed structure of La2NbCr.

Lattice parameters (Å, degrees): 5.337 5.337 5.337 60.00 60.00 60.00
Atoms (fractional coordinates):
1 La 0.250 0.250 0.250
2 La 0.750 0.750 0.750
3 Nb 0.000 0.000 0.000
4 Cr 0.500 0.500 0.500

Summary:
**Symmetry**: Fm-3m
**VASP energy**: -6.83 eV per atom
**Mass density**: 6.53 g/cm³
**Formation enthalpy at 0 K**: 0.56 eV per atom